No. 1
! BaScAg2, optimized geometry, DFT GGA-PBEsol; values from VASP
&SYSTEM
  ibrav = 0, nat = 4, ntyp = 3
/
ATOMIC_SPECIES
Ba 137.33 Ba.upf
Sc 44.96 Sc.upf
Ag 107.87 Ag.upf
CELL_PARAMETERS angstrom
-1.707 2.640 5.482
1.707 -2.640 5.482
1.707 2.640 -5.482
ATOMIC_POSITIONS crystal
Ba 0.000 0.000 0.000
Sc 0.300 0.800 0.500
Ag 0.531 0.531 0.000
Ag 0.736 0.236 0.500
! Energy relative to the lowest polymorph listed for this composition = 24.37 kJ per mole of atoms


No. 2
! Zn2TeP, optimized geometry, DFT GGA-PBEsol; values from VASP
&SYSTEM
  ibrav = 0, nat = 8, ntyp = 3
/
ATOMIC_SPECIES
Zn 65.41 Zn.upf
Te 127.60 Te.upf
P 30.97 P.upf
CELL_PARAMETERS angstrom
-2.849 2.849 5.687
2.849 -2.849 5.687
2.849 2.849 -5.687
ATOMIC_POSITIONS crystal
Zn 0.074 0.625 0.949
Zn 0.375 0.324 0.449
Zn 0.676 0.125 0.051
Zn 0.875 0.926 0.551
Te 0.250 0.750 0.500
Te 0.500 0.500 0.000
P 0.000 0.000 0.000
P 0.750 0.250 0.500
! ΔE_f (raw) = -131.3 meV per atom
! Energy relative to the lowest polymorph listed for this composition = 0.06 kJ per mole of atoms


No. 3
! TcHgOs3, optimized geometry, DFT GGA-PBEsol; values from VASP
&SYSTEM
  ibrav = 0, nat = 5, ntyp = 3
/
ATOMIC_SPECIES
Tc 98.00 Tc.upf
Hg 200.59 Hg.upf
Os 190.23 Os.upf
CELL_PARAMETERS angstrom
4.616 0.000 0.000
0.000 4.616 0.000
0.000 0.000 4.616
ATOMIC_POSITIONS crystal
Tc 0.000 0.000 0.000
Hg 0.500 0.500 0.500
Os 0.000 0.000 0.500
Os 0.000 0.500 0.000
Os 0.500 0.000 0.000
! Uncorrected energy = -7.4171 eV per atom


No. 4
! MnNiAsSe2, optimized geometry, DFT GGA-PBEsol; values from VASP
&SYSTEM
  ibrav = 0, nat = 5, ntyp = 4
/
ATOMIC_SPECIES
Mn 54.94 Mn.upf
Ni 58.69 Ni.upf
As 74.92 As.upf
Se 78.96 Se.upf
CELL_PARAMETERS angstrom
4.643 0.000 0.000
0.000 4.643 0.000
0.000 0.000 4.491
ATOMIC_POSITIONS crystal
Mn 0.000 0.000 0.000
Ni 0.500 0.500 0.500
As 0.000 0.000 0.500
Se 0.000 0.500 0.000
Se 0.500 0.000 0.000
! ΔE_f (raw) = 690.6 meV per atom


No. 5
! Tl2SnSe3, optimized geometry, DFT GGA-PBEsol; values from VASP
&SYSTEM
  ibrav = 0, nat = 48, ntyp = 3
/
ATOMIC_SPECIES
Tl 204.38 Tl.upf
Sn 118.71 Sn.upf
Se 78.96 Se.upf
CELL_PARAMETERS angstrom
7.882 0.000 0.000
0.000 21.055 0.000
0.000 0.000 8.079
ATOMIC_POSITIONS crystal
Tl 0.165 0.168 0.022
Tl 0.165 0.332 0.022
Tl 0.223 0.007 0.949
Tl 0.223 0.493 0.949
Tl 0.277 0.507 0.449
Tl 0.277 0.993 0.449
Tl 0.335 0.668 0.522
Tl 0.335 0.832 0.522
Tl 0.665 0.168 0.478
Tl 0.665 0.332 0.478
Tl 0.723 0.007 0.551
Tl 0.723 0.493 0.551
Tl 0.777 0.507 0.051
Tl 0.777 0.993 0.051
Tl 0.835 0.668 0.978
Tl 0.835 0.832 0.978
Sn 0.160 0.165 0.517
Sn 0.160 0.335 0.517
Sn 0.340 0.665 0.017
Sn 0.340 0.835 0.017
Sn 0.660 0.165 0.983
Sn 0.660 0.335 0.983
Sn 0.840 0.665 0.483
Sn 0.840 0.835 0.483
Se 0.000 0.088 0.330
Se 0.000 0.412 0.330
Se 0.000 0.588 0.670
Se 0.000 0.912 0.670
Se 0.012 0.750 0.323
Se 0.126 0.606 0.194
Se 0.126 0.894 0.194
Se 0.175 0.750 0.840
Se 0.325 0.250 0.340
Se 0.374 0.106 0.694
Se 0.374 0.394 0.694
Se 0.488 0.250 0.823
Se 0.500 0.088 0.170
Se 0.500 0.412 0.170
Se 0.500 0.588 0.830
Se 0.500 0.912 0.830
Se 0.512 0.750 0.177
Se 0.626 0.606 0.306
Se 0.626 0.894 0.306
Se 0.675 0.750 0.660
Se 0.825 0.250 0.160
Se 0.874 0.106 0.806
Se 0.874 0.394 0.806
Se 0.988 0.250 0.677
! ΔE_f (raw) = -358.4 meV per atom


No. 6
! Zr3BeHg, optimized geometry, DFT GGA-PBEsol; values from VASP
&SYSTEM
  ibrav = 0, nat = 5, ntyp = 3
/
ATOMIC_SPECIES
Zr 91.22 Zr.upf
Be 9.01 Be.upf
Hg 200.59 Hg.upf
CELL_PARAMETERS angstrom
4.660 0.000 0.000
0.000 4.660 0.000
0.000 0.000 4.660
ATOMIC_POSITIONS crystal
Zr 0.000 0.000 0.500
Zr 0.000 0.500 0.000
Zr 0.500 0.000 0.000
Be 0.000 0.000 0.000
Hg 0.500 0.500 0.500
! Uncorrected energy = -6.2320 eV per atom


Number 1: total magnetization 0.001 μB/cell. Number 2: total magnetization 0.000 μB/cell. Number 3: total magnetization 0.002 μB/cell. Number 4: total magnetization 1.538 μB/cell. Number 5: total magnetization 0.000 μB/cell. Number 6: total magnetization 0.000 μB/cell.